Crystalline CdAgIr2 at its relaxed geometry. Source: Alexandria via LeMat-Bulk, functional PBE.

Lattice parameters (Å, degrees): 3.3074 3.3074 6.0716 90.00 90.00 90.00
Fractional coordinates of all 4 atoms:
Ir: 0.0000 0.0000 0.4914
Ir: 0.0000 0.0000 0.0086
Cd: 0.5000 0.5000 0.7500
Ag: 0.5000 0.5000 0.2500

space group: P4/mmm, No. 123
size of the total moment: 0.01 μB per formula unit
ΔH_f (0 K): 58.0 kJ/mol of atoms